(1)
Computed, not measured: a relaxed structure of La8Pr3In2 at the PBE-GGA level of DFT.

Properties
The formation energy comes out at -117 meV/atom. Its crystal system is triclinic.

The structure in POSCAR format:
```
La8Pr3In2
1.0
6.906 0.000 0.000
1.753 8.618 0.000
3.376 3.196 7.674
La Pr In
8 3 2
direct
0.100 0.018 0.291 La
0.163 0.210 0.819 La
0.180 0.391 0.355 La
0.245 0.586 0.848 La
0.755 0.414 0.152 La
0.820 0.609 0.645 La
0.837 0.790 0.181 La
0.900 0.982 0.709 La
0.422 0.809 0.006 Pr
0.500 0.000 0.500 Pr
0.578 0.191 0.994 Pr
0.365 0.660 0.440 In
0.635 0.340 0.560 In
```

(2)
Computed, not measured: a relaxed structure of AcEuSiCl at the PBE-GGA level of DFT.

Properties
Its crystal system is cubic. Its uncorrected formation energy is -1.002 eV per atom.

The structure in POSCAR format:
```
AcEuSiCl
1.0
0.000 3.800 3.800
3.800 0.000 3.800
3.800 3.800 0.000
Ac Eu Si Cl
1 1 1 1
direct
0.000 0.000 0.000 Ac
0.500 0.500 0.500 Eu
0.750 0.750 0.750 Si
0.250 0.250 0.250 Cl
```

(3)
Computed, not measured: a relaxed structure of PrPd2Au5 at the PBE-GGA level of DFT.

Properties
The formation energy comes out at -303 meV/atom. Its crystal system is orthorhombic.

The structure in POSCAR format:
```
PrPd2Au5
1.0
-2.068 4.128 4.731
2.068 -4.128 4.731
2.068 4.128 -4.731
Pr Pd Au
1 2 5
direct
0.000 0.000 0.000 Pr
0.210 0.710 0.500 Pd
0.790 0.290 0.500 Pd
0.167 0.346 0.820 Au
0.474 0.654 0.820 Au
0.500 0.000 0.500 Au
0.526 0.346 0.180 Au
0.833 0.654 0.180 Au
```

(4)
Computed, not measured: a relaxed structure of Ce6FeSn2N at the PBE-GGA level of DFT.

Properties
Its crystal system is tetragonal. Its uncorrected formation energy is -0.561 eV per atom.

The structure in POSCAR format:
```
Ce6FeSn2N
1.0
-3.499 3.499 5.161
3.499 -3.499 5.161
3.499 3.499 -5.161
Ce Fe Sn N
6 1 2 1
direct
0.233 0.233 0.000 Ce
0.246 0.246 0.493 Ce
0.246 0.754 0.000 Ce
0.754 0.246 0.000 Ce
0.754 0.754 0.507 Ce
0.767 0.767 0.000 Ce
0.500 0.500 0.000 Fe
0.250 0.750 0.500 Sn
0.750 0.250 0.500 Sn
0.000 0.000 0.000 N
```

(5)
Computed, not measured: a relaxed structure of InSnAsBr2 at the PBE-GGA level of DFT.

Properties
As for the relative energy among the computed polymorphs: 0.000 eV per atom. Its crystal system is tetragonal. Its uncorrected formation energy is -0.064 eV per atom.

The structure in POSCAR format:
```
InSnAsBr2
1.0
5.738 0.000 0.000
0.000 5.738 0.000
0.000 0.000 5.348
In Sn As Br
1 1 1 2
direct
0.000 0.000 0.000 In
0.500 0.500 0.500 Sn
0.500 0.500 0.000 As
0.000 0.500 0.500 Br
0.500 0.000 0.500 Br
```

(6)
Computed, not measured: a relaxed structure of Pm5AlGe2 at the PBE-GGA level of DFT.

Properties
As for the relative energy among the computed polymorphs: 0.000 eV per atom. The formation energy comes out at -559 meV/atom. Its crystal system is tetragonal.

The structure in POSCAR format:
```
Pm5AlGe2
1.0
-3.951 3.951 7.139
3.951 -3.951 7.139
3.951 3.951 -7.139
Pm Al Ge
10 2 4
direct
0.000 0.000 0.000 Pm
0.030 0.530 0.846 Pm
0.184 0.030 0.500 Pm
0.316 0.816 0.846 Pm
0.470 0.316 0.500 Pm
0.500 0.500 0.000 Pm
0.530 0.684 0.500 Pm
0.684 0.184 0.154 Pm
0.816 0.970 0.500 Pm
0.970 0.470 0.154 Pm
0.250 0.250 0.000 Al
0.750 0.750 0.000 Al
0.126 0.374 0.500 Ge
0.374 0.874 0.247 Ge
0.626 0.126 0.753 Ge
0.874 0.626 0.500 Ge
```

In order of appearance, VASP energy = -4.674; -6.415; -4.247; -6.600; -3.011; -5.151 eV/atom.